(1)
Density functional theory data (PBE) for Pm3Dy2Er7 after structural relaxation.

Summary:
Spin magnetization in μB/f.u.: 0.0
E_form in eV per formula unit: 1.06
Calculated volume in Å³/cell: 383.4

```
data_Pm3Dy2Er7
_chemical_formula_sum 'Pm3 Dy2 Er7'
_cell_length_a 5.7884
_cell_length_b 3.5497
_cell_length_c 18.6871
_cell_angle_alpha 90.00
_cell_angle_beta 93.10
_cell_angle_gamma 90.00
_space_group_name_H-M_alt 'P 1'
_space_group_IT_number 1
loop_
_space_group_symop_operation_xyz
'x,y,z'
loop_
_atom_site_label
_atom_site_fract_x
_atom_site_fract_y
_atom_site_fract_z
_atom_site_occupancy
Pm1 0.0000 0.0000 0.0000 1
Pm2 0.2783 0.5000 0.6329 1
Pm3 0.7217 0.5000 0.3671 1
Dy1 0.2096 0.0000 0.2922 1
Dy2 0.7904 0.0000 0.7078 1
Er1 0.1900 0.5000 0.1432 1
Er2 0.2427 0.0000 0.4621 1
Er3 0.3075 0.0000 0.8249 1
Er4 0.5000 0.5000 0.0000 1
Er5 0.6925 0.0000 0.1751 1
Er6 0.7573 0.0000 0.5379 1
Er7 0.8100 0.5000 0.8568 1
```

(2)
Density functional theory data (PBE) for Li2H5Rh after structural relaxation.

Summary:
Spin magnetization in μB/f.u.: 0.0
Offset from the most stable computed form in meV per atom: 18
Calculated volume in Å³/cell: 137.6

```
data_Li2H5Rh
_chemical_formula_sum 'Li4 H10 Rh2'
_cell_length_a 5.1275
_cell_length_b 5.1275
_cell_length_c 8.7312
_cell_angle_alpha 90.00
_cell_angle_beta 90.00
_cell_angle_gamma 143.17
_space_group_name_H-M_alt 'P 1'
_space_group_IT_number 1
loop_
_space_group_symop_operation_xyz
'x,y,z'
loop_
_atom_site_label
_atom_site_fract_x
_atom_site_fract_y
_atom_site_fract_z
_atom_site_occupancy
Li1 0.1405 0.8595 0.5720 1
Li2 0.1405 0.8595 0.9280 1
Li3 0.8595 0.1405 0.0720 1
Li4 0.8595 0.1405 0.4280 1
H1 0.0430 0.9570 0.1172 1
H2 0.0430 0.9570 0.3828 1
H3 0.2780 0.7220 0.1086 1
H4 0.2780 0.7220 0.3914 1
H5 0.2828 0.7172 0.7500 1
H6 0.7172 0.2828 0.2500 1
H7 0.7220 0.2780 0.6086 1
H8 0.7220 0.2780 0.8914 1
H9 0.9570 0.0430 0.6172 1
H10 0.9570 0.0430 0.8828 1
Rh1 0.1635 0.8365 0.2500 1
Rh2 0.8365 0.1635 0.7500 1
```

(3)
Density functional theory data (PBE) for Na3MgTc after structural relaxation.

Summary:
Spin magnetization in μB/f.u.: 3.8
E_form in eV per formula unit: 6.66
Offset from the most stable computed form in meV per atom: 131
Calculated volume in Å³/cell: 182.2

```
data_Na3MgTc
_chemical_formula_sum 'Na3 Mg1 Tc1'
_cell_length_a 5.6687
_cell_length_b 5.6687
_cell_length_c 5.6687
_cell_angle_alpha 90.00
_cell_angle_beta 90.00
_cell_angle_gamma 90.00
_space_group_name_H-M_alt 'P 1'
_space_group_IT_number 1
loop_
_space_group_symop_operation_xyz
'x,y,z'
loop_
_atom_site_label
_atom_site_fract_x
_atom_site_fract_y
_atom_site_fract_z
_atom_site_occupancy
Na1 0.0000 0.0000 0.5000 1
Na2 0.0000 0.5000 0.0000 1
Na3 0.5000 0.0000 0.0000 1
Mg1 0.0000 0.0000 0.0000 1
Tc1 0.5000 0.5000 0.5000 1
```

(4)
Density functional theory data (PBE) for Ta5Os6Ru after structural relaxation.

Summary:
Spin magnetization in μB/f.u.: 0.0
E_form in eV per formula unit: -3.07
Calculated volume in Å³/cell: 191.7

```
data_Ta5Os6Ru
_chemical_formula_sum 'Ta5 Os6 Ru1'
_cell_length_a 7.5838
_cell_length_b 7.5838
_cell_length_c 7.5838
_cell_angle_alpha 147.35
_cell_angle_beta 124.45
_cell_angle_gamma 65.95
_space_group_name_H-M_alt 'P 1'
_space_group_IT_number 1
loop_
_space_group_symop_operation_xyz
'x,y,z'
loop_
_atom_site_label
_atom_site_fract_x
_atom_site_fract_y
_atom_site_fract_z
_atom_site_occupancy
Ta1 0.0000 0.0000 0.0000 1
Ta2 0.1832 0.6832 0.5000 1
Ta3 0.3592 0.3592 0.0000 1
Ta4 0.6408 0.6408 0.0000 1
Ta5 0.8168 0.3168 0.5000 1
Os1 0.0664 0.8332 0.2332 1
Os2 0.2195 0.5000 0.7195 1
Os3 0.4000 0.1668 0.2332 1
Os4 0.6000 0.8332 0.7668 1
Os5 0.7805 0.5000 0.2805 1
Os6 0.9336 0.1668 0.7668 1
Ru1 0.5000 0.0000 0.5000 1
```